Entry from Alexandria via LeMat-Bulk: a relaxed structure of LaZrTa2 (PBE).

The structure belongs to space group Cmmm (No. 65); the cell edges are 3.3652, 4.9994 and 10.4997 Å and the angles 90.00°, 90.00° and 90.00°. Symmetry generates all atoms from La at (0.0000, 0.0000, 0.0000), Zr at (0.0000, 0.0000, 0.5000) and Ta at (0.0000, 0.5000, 0.2706).

For the energy above the most stable polymorph in this dataset, the calculation gives 0.209 eV/atom. The energy of formation from the pure elements comes out at 415 meV per atom.



Entry from Alexandria via LeMat-Bulk: a relaxed structure of La2Er3TmSe6 (PBE).

The structure belongs to space group C2/m (No. 12); the cell edges are 18.0289, 4.0823 and 8.3556 Å and the angles 90.00°, 104.04° and 90.00°. Symmetry generates all atoms from La at (0.1673, 0.0000, 0.3350), Er at (0.0000, 0.5000, 0.5000), Er at (0.1709, 0.0000, 0.8343), Tm at (0.0000, 0.5000, 0.0000), Se at (0.0064, 0.0000, 0.7551), Se at (0.1610, 0.5000, 0.5960) and Se at (0.1639, 0.5000, 0.0669).

The calculation puts the raw formation energy at -1.79 eV per atom.



Entry from Alexandria via LeMat-Bulk: a relaxed structure of ZnNiBr (PBE).

The structure belongs to space group P1 (No. 1); the cell edges are 3.7309, 4.1882 and 9.0941 Å and the angles 94.81°, 90.52° and 116.44°. Symmetry generates all atoms from Zn at (0.0000, 0.0000, 0.0000), Zn at (0.3351, 0.6784, 0.8124), Ni at (0.3155, 0.6270, 0.0880), Ni at (0.6746, 0.3534, 0.9099), Br at (0.5835, 0.1824, 0.6400) and Br at (0.8637, 0.7156, 0.2627).

The calculation puts the raw formation energy at -0.21 eV per atom. For the energy above the most stable polymorph in this dataset, the calculation gives 0.030 eV/atom.



Entry from Alexandria via LeMat-Bulk: a relaxed structure of EuAlPb2 (PBE).

The structure belongs to space group R-3m (No. 166, hexagonal axes); the cell edges are 4.9725, 4.9725 and 16.3251 Å and the angles 90.00°, 90.00° and 120.00°. Symmetry generates all atoms from Eu at (0.0000, 0.0000, 0.0000), Al at (0.0000, 0.0000, 0.5000) and Pb at (0.0000, 0.0000, 0.2264).

The energy of formation from the pure elements comes out at -127 meV per atom.



Entry from Alexandria via LeMat-Bulk: a relaxed structure of TlPSe2Br (PBE).

The structure belongs to space group P4/mmm (No. 123); the cell edges are 4.8920, 4.8920 and 5.5352 Å and the angles 90.00°, 90.00° and 90.00°. Symmetry generates all atoms from Tl at (0.0000, 0.0000, 0.0000), P at (0.5000, 0.5000, 0.5000), Se at (0.0000, 0.5000, 0.5000) and Br at (0.5000, 0.5000, 0.0000).

The calculation puts the raw formation energy at 0.01 eV per atom. For the energy above the most stable polymorph in this dataset, the calculation gives 0.000 eV/atom.



Entry from Alexandria via LeMat-Bulk: a relaxed structure of CoIrCl2 (PBE).

The structure belongs to space group R3m (No. 160, hexagonal axes); the cell edges are 3.4364, 3.4364 and 24.2279 Å and the angles 90.00°, 90.00° and 120.00°. Symmetry generates all atoms from Co at (0.0000, 0.0000, 0.0000), Ir at (0.0000, 0.0000, 0.7205), Cl at (0.0000, 0.0000, 0.2739) and Cl at (0.0000, 0.0000, 0.4524).

The calculation puts the raw formation energy at 0.09 eV per atom. For the energy above the most stable polymorph in this dataset, the calculation gives 0.002 eV/atom.



Entry from Alexandria via LeMat-Bulk: a relaxed structure of TlInPb4 (PBE).

The structure belongs to space group Pmmm (No. 47); the cell edges are 3.5377, 4.8473 and 10.7550 Å and the angles 90.00°, 90.00° and 90.00°. Symmetry generates all atoms from Tl at (0.0000, 0.0000, 0.0000), In at (0.5000, 0.5000, 0.5000), Pb at (0.0000, 0.0000, 0.3378) and Pb at (0.5000, 0.5000, 0.1741).

For the energy above the most stable polymorph in this dataset, the calculation gives 0.000 eV/atom. The energy of formation from the pure elements comes out at -3 meV per atom.



Entry from Alexandria via LeMat-Bulk: a relaxed structure of LaIn3Ag8 (PBE).

The structure belongs to space group P3m1 (No. 156); the cell edges are 5.6156, 5.6156 and 9.3702 Å and the angles 90.00°, 90.00° and 120.00°. Symmetry generates all atoms from La at (0.0000, 0.0000, 0.0000), In at (0.0000, 0.0000, 0.3736), In at (0.6667, 0.3333, 0.4972), In at (0.6667, 0.3333, 0.8626), Ag at (0.1643, 0.3286, 0.6797), Ag at (0.3333, 0.6667, 0.4330), Ag at (0.3333, 0.6667, 0.9295) and Ag at (0.5023, 0.0045, 0.1878).

The energy of formation from the pure elements comes out at -96 meV per atom.



Entry from Alexandria via LeMat-Bulk: a relaxed structure of P2IrAu (PBE).

The structure belongs to space group I-4m2 (No. 119); the cell edges are 3.7609, 3.7609 and 8.6649 Å and the angles 90.00°, 90.00° and 90.00°. Symmetry generates all atoms from P at (0.0000, 0.0000, 0.0000), P at (0.0000, 0.5000, 0.2500), Ir at (0.0000, 0.0000, 0.5000) and Au at (0.0000, 0.5000, 0.7500).

For the energy above the most stable polymorph in this dataset, the calculation gives 0.746 eV/atom. The energy of formation from the pure elements comes out at 520 meV per atom.



Entry from Alexandria via LeMat-Bulk: a relaxed structure of TlRe2W (PBE).

The structure belongs to space group C2/m (No. 12); the cell edges are 9.4723, 2.9789 and 4.9987 Å and the angles 90.00°, 102.28° and 90.00°. Symmetry generates all atoms from Tl at (0.0000, 0.0000, 0.0000), Re at (0.2325, 0.0000, 0.7099) and W at (0.0000, 0.5000, 0.5000).

For the energy above the most stable polymorph in this dataset, the calculation gives 0.145 eV/atom. The energy of formation from the pure elements comes out at 711 meV per atom.



Entry from Alexandria via LeMat-Bulk: a relaxed structure of Ni2Os (PBE).

The structure belongs to space group Pm (No. 6); the cell edges are 4.4422, 2.6299 and 6.4197 Å and the angles 90.00°, 102.82° and 90.00°. Symmetry generates all atoms from Ni at (0.0000, 0.0000, 0.0000), Ni at (0.0469, 0.5000, 0.6704), Ni at (0.4983, 0.5000, 0.0013), Ni at (0.7732, 0.0000, 0.3307), Os at (0.2709, 0.5000, 0.3343) and Os at (0.5533, 0.0000, 0.6714).

For the energy above the most stable polymorph in this dataset, the calculation gives 0.061 eV/atom. The energy of formation from the pure elements comes out at 125 meV per atom.



Entry from Alexandria via LeMat-Bulk: a relaxed structure of ReSiIN2 (PBE).

The structure belongs to space group P4/mmm (No. 123); the cell edges are 3.6294, 3.6294 and 7.0172 Å and the angles 90.00°, 90.00° and 90.00°. Symmetry generates all atoms from Re at (0.0000, 0.0000, 0.0000), Si at (0.5000, 0.5000, 0.5000), I at (0.5000, 0.5000, 0.0000) and N at (0.0000, 0.5000, 0.5000).

The calculation puts the raw formation energy at 1.66 eV per atom. For the energy above the most stable polymorph in this dataset, the calculation gives 0.650 eV/atom.



Entry from Alexandria via LeMat-Bulk: a relaxed structure of Cd3BrCl (PBE).

The structure belongs to space group Pm-3m (No. 221); the cell edges are 5.6248, 5.6248 and 5.6248 Å and the angles 90.00°, 90.00° and 90.00°. Symmetry generates all atoms from Cd at (0.0000, 0.0000, 0.5000), Br at (0.5000, 0.5000, 0.5000) and Cl at (0.0000, 0.0000, 0.0000).

The calculation puts the raw formation energy at 0.10 eV per atom. For the energy above the most stable polymorph in this dataset, the calculation gives 0.000 eV/atom.



Entry from Alexandria via LeMat-Bulk: a relaxed structure of AcPmPr2 (PBE).

The structure belongs to space group Fm-3m (No. 225); the cell edges are 8.4702, 8.4702 and 8.4702 Å and the angles 90.00°, 90.00° and 90.00°. Symmetry generates all atoms from Ac at (0.0000, 0.0000, 0.0000), Pm at (0.0000, 0.0000, 0.5000) and Pr at (0.2500, 0.2500, 0.2500).

For the energy above the most stable polymorph in this dataset, the calculation gives 0.123 eV/atom. The energy of formation from the pure elements comes out at 143 meV per atom.



Entry from Alexandria via LeMat-Bulk: a relaxed structure of SrTe2 (PBE).

The structure belongs to space group Fm-3m (No. 225); the cell edges are 7.7752, 7.7752 and 7.7752 Å and the angles 90.00°, 90.00° and 90.00°. Symmetry generates all atoms from Sr at (0.0000, 0.0000, 0.0000) and Te at (0.2500, 0.2500, 0.2500).

The calculation puts the raw formation energy at -0.76 eV per atom.



Entry from Alexandria via LeMat-Bulk: a relaxed structure of Tl5CrSe5 (PBE).

The structure belongs to space group C2/m (No. 12); the cell edges are 14.0600, 5.9622 and 8.2213 Å and the angles 90.00°, 111.36° and 90.00°. Symmetry generates all atoms from Tl at (0.0000, 0.0000, 0.0000), Tl at (0.1433, 0.5000, 0.2856), Tl at (0.1965, 0.5000, 0.8031), Cr at (0.0000, 0.0000, 0.5000), Se at (0.0000, 0.5000, 0.5000), Se at (0.1299, 0.0000, 0.7973) and Se at (0.1453, 0.0000, 0.3951).

The calculation puts the raw formation energy at -0.28 eV per atom.



Entry from Alexandria via LeMat-Bulk: a relaxed structure of Nd4PtSe3 (PBE).

The structure belongs to space group Pm-3m (No. 221); the cell edges are 5.9958, 5.9958 and 5.9958 Å and the angles 90.00°, 90.00° and 90.00°. Symmetry generates all atoms from Nd at (0.0000, 0.0000, 0.0000), Nd at (0.0000, 0.5000, 0.5000), Pt at (0.5000, 0.5000, 0.5000) and Se at (0.0000, 0.0000, 0.5000).

The calculation puts the raw formation energy at -1.62 eV per atom. For the energy above the most stable polymorph in this dataset, the calculation gives 0.040 eV/atom.



Entry from Alexandria via LeMat-Bulk: a relaxed structure of CoRuW2 (PBE).

The structure belongs to space group Fm-3m (No. 225); the cell edges are 6.1444, 6.1444 and 6.1444 Å and the angles 90.00°, 90.00° and 90.00°. Symmetry generates all atoms from Co at (0.0000, 0.0000, 0.0000), Ru at (0.0000, 0.0000, 0.5000) and W at (0.2500, 0.2500, 0.2500).

For the energy above the most stable polymorph in this dataset, the calculation gives 0.329 eV/atom. The energy of formation from the pure elements comes out at 369 meV per atom.



Entry from Alexandria via LeMat-Bulk: a relaxed structure of Sr2LiCu3Ge4 (PBE).

The structure belongs to space group P-4m2 (No. 115); the cell edges are 4.3508, 4.3508 and 10.2114 Å and the angles 90.00°, 90.00° and 90.00°. Symmetry generates all atoms from Sr at (0.0000, 0.5000, 0.2464), Li at (0.5000, 0.5000, 0.0000), Cu at (0.0000, 0.0000, 0.0000), Cu at (0.0000, 0.5000, 0.6274), Ge at (0.0000, 0.0000, 0.5000), Ge at (0.0000, 0.5000, 0.8716) and Ge at (0.5000, 0.5000, 0.5000).

The energy of formation from the pure elements comes out at -347 meV per atom.



Entry from Alexandria via LeMat-Bulk: a relaxed structure of RbInGe (PBE).

The structure belongs to space group Pmmm (No. 47); the cell edges are 4.6265, 5.8688 and 8.0315 Å and the angles 90.00°, 90.00° and 90.00°. Symmetry generates all atoms from Rb at (0.0000, 0.0000, 0.0000), Rb at (0.5000, 0.0000, 0.5000), In at (0.0000, 0.5000, 0.3217) and Ge at (0.5000, 0.5000, 0.1543).

The energy of formation from the pure elements comes out at -105 meV per atom.